Compound: SmHfCo2
Source: the Alexandria database
Functional: PBE
Structure: relaxed

Structure (CIF):
```
data_SmHfCo2
_space_group_name_H-M_alt 'P 1'
_space_group_IT_number 1
_cell_length_a 3.222
_cell_length_b 3.222
_cell_length_c 6.777
_cell_angle_alpha 90.00
_cell_angle_beta 90.00
_cell_angle_gamma 90.00
loop_
_space_group_symop_operation_xyz
'x,y,z'
loop_
_atom_site_label
_atom_site_fract_x
_atom_site_fract_y
_atom_site_fract_z
Sm1 0.000 0.000 0.000
Hf1 0.000 0.000 0.500
Co1 0.500 0.500 0.289
Co2 0.500 0.500 0.711
```

Output
Its formation energy is -0.8 eV per formula unit. The value obtained for the electronic total energy is -29.72 eV per cell. The value obtained for the volume is 70.4 Å³/cell. The value obtained for the offset from the most stable computed form is 0.000 eV/atom. For the spin magnetization, the calculation gives 0.64 μB/f.u.